1) VASP calculation (PBE-GGA) on an optimized crystal structure of PmPr3Sm7.

Geometry as extended XYZ:
```
11
Lattice="-0.078 -8.761 1.105 3.712 -0.808 -6.149 3.514 0.759 6.270" Properties=species:S:1:pos:R:3 pbc="T T T"
Pm 3.546 -3.646 2.620
Pr 3.552 -6.888 0.925
Pr 1.796 -7.267 -2.209
Pr 5.408 -7.292 -2.148
Sm 3.538 -0.537 4.324
Sm 1.787 -0.916 1.199
Sm 3.637 -1.365 -1.873
Sm 3.644 -4.472 -3.576
Sm 1.795 -4.070 -0.513
Sm 5.395 -4.094 -0.453
Sm 5.388 -0.940 1.260
```

***

2) VASP calculation (PBE-GGA) on an optimized crystal structure of PmPr3Sm7.

Geometry as extended XYZ:
```
11
Lattice="-3.887 -2.210 -4.714 5.950 -2.017 -4.685 0.705 -7.487 2.205" Properties=species:S:1:pos:R:3 pbc="T T T"
Pm 1.384 -5.857 -3.597
Pr 5.037 -2.969 -3.485
Pr -1.944 -1.105 -2.357
Pr 1.618 -6.535 1.005
Sm -1.475 -4.012 -4.308
Sm 2.988 -7.767 -6.515
Sm 1.587 -2.063 -3.053
Sm 1.181 -9.652 -4.141
Sm 3.327 -4.752 -1.240
Sm -0.220 -3.948 -0.679
Sm 4.242 -7.703 -2.886
```

***

Of them, 1) has the highest stability.

***

1) VASP calculation (PBE-GGA) on an optimized crystal structure of Pm7Pr2Sm3.

Geometry as extended XYZ:
```
12
Lattice="3.598 0.000 0.000 0.000 6.444 0.868 0.000 2.163 18.269" Properties=species:S:1:pos:R:3 pbc="T T T"
Pm 1.799 2.639 9.376
Pm 1.799 5.968 9.762
Pm 0.000 3.966 3.496
Pm 0.000 0.000 0.000
Pm 0.000 4.641 15.641
Pm 1.799 7.864 16.031
Pm 1.799 0.743 3.106
Pr 1.799 4.663 6.548
Pr 1.799 3.944 12.589
Sm 1.799 3.222 0.434
Sm 0.000 1.460 6.305
Sm 0.000 7.147 12.832
```

***

2) VASP calculation (PBE-GGA) on an optimized crystal structure of Pm7Pr2Sm3.

Geometry as extended XYZ:
```
12
Lattice="-2.691 -0.571 2.414 1.706 -5.584 0.580 11.082 7.946 14.232" Properties=species:S:1:pos:R:3 pbc="T T T"
Pm 9.781 4.223 11.901
Pm 7.271 -0.021 8.100
Pm 0.000 0.000 0.000
Pm 3.007 -1.862 2.912
Pm 0.367 0.454 3.291
Pm 9.730 1.336 13.936
Pm 5.517 2.382 6.713
Pr 9.260 0.838 10.519
Pr 3.528 1.523 4.293
Sm -0.493 -3.078 1.497
Sm 3.930 -1.168 6.879
Sm 6.167 2.958 10.348
```

***

Of them, 1) has the highest stability.

***

1) VASP calculation (PBE-GGA) on an optimized crystal structure of Pm4Pr2Sm5.

Geometry as extended XYZ:
```
11
Lattice="-2.272 1.847 2.030 -1.992 -7.750 4.821 10.854 5.397 4.110" Properties=species:S:1:pos:R:3 pbc="T T T"
Pm -0.601 -2.338 1.454
Pm -0.454 -2.481 4.875
Pm -1.391 -5.413 3.367
Pm 7.045 1.975 6.086
Pr 4.691 1.315 4.053
Pr 1.900 -1.821 6.909
Sm 5.675 5.021 4.910
Sm 4.463 0.306 7.843
Sm 2.127 -0.812 3.119
Sm 0.915 -5.527 6.052
Sm -1.136 0.923 1.015
```

***

2) VASP calculation (PBE-GGA) on an optimized crystal structure of Pm4Pr2Sm5.

Geometry as extended XYZ:
```
11
Lattice="-1.657 1.362 2.774 -7.502 0.726 -4.840 -1.316 -11.927 2.854" Properties=species:S:1:pos:R:3 pbc="T T T"
Pm -5.126 -2.993 0.623
Pm -2.902 -0.778 -1.353
Pm -5.350 -6.846 0.165
Pm -7.573 -9.061 2.140
Pr -4.573 -8.339 3.578
Pr -5.903 -1.500 -2.791
Sm -1.486 -3.093 0.631
Sm -8.990 -6.745 0.156
Sm -7.192 -4.620 -2.029
Sm -0.829 0.681 1.387
Sm -3.284 -5.219 2.817
```

***

Of them, 2) has the highest stability.

***

1) VASP calculation (PBE-GGA) on an optimized crystal structure of Pm3Pr5Sm.

Geometry as extended XYZ:
```
18
Lattice="-2.732 -3.296 4.669 11.064 -1.521 1.103 -5.652 9.698 3.538" Properties=species:S:1:pos:R:3 pbc="T T T"
Pm 0.000 0.000 0.000
Pm 0.956 1.297 3.452
Pm -2.826 4.849 1.769
Pm 1.724 3.584 5.859
Pm -3.345 4.366 7.742
Pm 6.026 0.515 1.569
Pr -5.385 5.891 4.612
Pr -0.124 6.455 7.093
Pr 0.139 -1.911 4.621
Pr 2.804 -1.573 2.218
Pr 4.355 0.723 4.650
Pr -2.999 0.511 3.596
Pr 4.361 3.607 2.488
Pr -1.681 1.274 6.822
Pr -1.675 4.158 4.661
Pr 2.541 6.792 4.690
Sm -6.706 4.297 6.870
Sm -1.678 2.105 1.337
```

***

2) VASP calculation (PBE-GGA) on an optimized crystal structure of Pm3Pr5Sm.

Geometry as extended XYZ:
```
18
Lattice="-5.209 8.043 1.171 -9.137 0.858 2.995 0.772 1.975 9.443" Properties=species:S:1:pos:R:3 pbc="T T T"
Pm -9.365 7.593 9.741
Pm -11.954 8.121 6.247
Pm 0.000 0.000 0.000
Pm 0.386 0.987 4.721
Pm -4.209 3.283 3.868
Pm -1.620 2.754 7.361
Pr -8.321 8.219 6.336
Pr -7.870 3.175 2.407
Pr -9.896 6.335 3.642
Pr -6.947 5.107 5.158
Pr -6.627 5.768 8.451
Pr -3.678 4.540 9.966
Pr -9.974 5.195 7.103
Pr -6.476 5.726 1.759
Pr -5.253 2.657 7.273
Pr -3.600 5.680 6.505
Sm -11.925 9.451 11.549
Sm -1.650 1.425 2.060
```

***

Of them, 1) has the highest stability.